# 1
Pm2PrDyTm4 after structural relaxation, computed with PBE-GGA.

Results
Space-group type: Imma (74)
ΔH_f (0 K) in meV/atom: 422.2
Fermi-level density of states in states/eV per cell: 38.10
VASP energy in eV/cell: -66.78
V in A^3/atom: 33.09

abc: 9.4921 9.4921 9.4921
angles: 138.16 103.13 91.60
Atoms (fractional coordinates):
Pm  0.0000  0.0000  0.0000
Pm  0.5000  0.0000  0.0000
Pm  0.5000  0.0000  0.5000
Pm  0.5000  0.5000  0.5000
Pr  0.0000  0.5000  0.5000
Pr  0.5000  0.5000  0.0000
Dy  0.0000  0.0000  0.5000
Dy  0.0000  0.5000  0.0000
Tm  0.2472  0.2468  0.4996
Tm  0.2471  0.2499  0.9972
Tm  0.2472  0.7475  0.0004
Tm  0.2472  0.7501  0.4972
Tm  0.7528  0.2499  0.5028
Tm  0.7528  0.2525  0.9996
Tm  0.7529  0.7501  0.0028
Tm  0.7528  0.7532  0.5004



# 2
PmPr2DyTm2 after structural relaxation, computed with PBE-GGA.

Results
Space-group type: Pmma (51)
ΔH_f (0 K) in meV/atom: 72.7
Fermi-level density of states in states/eV per cell: 18.45
VASP energy in eV/cell: -54.84
V in A^3/atom: 32.96

abc: 7.0218 5.6967 9.8889
angles: 90.00 90.00 90.00
Atoms (fractional coordinates):
Pm  0.0000  0.0000  0.0000
Pm  0.5000  0.0000  0.0000
Pr  0.0000  0.5000  0.5000
Pr  0.2500  0.0000  0.3294
Pr  0.5000  0.5000  0.5000
Pr  0.7500  0.0000  0.6706
Dy  0.2500  0.5000  0.8362
Dy  0.7500  0.5000  0.1638
Tm  0.2500  0.0000  0.6661
Tm  0.2500  0.5000  0.1661
Tm  0.7500  0.0000  0.3339
Tm  0.7500  0.5000  0.8339



# 3
Pm4Pr2DyTm after structural relaxation, computed with PBE-GGA.

Results
Space-group type: C2/c (15)
ΔH_f (0 K) in meV/atom: 384.1
Fermi-level density of states in states/eV per cell: 38.01
VASP energy in eV/cell: -69.13
V in A^3/atom: 34.57

abc: 9.6095 9.6095 6.9100
angles: 110.94 110.94 88.22
Atoms (fractional coordinates):
Pm  0.2387  0.7528  0.9952
Pm  0.2426  0.2476  0.4697
Pm  0.2472  0.7613  0.5048
Pm  0.2476  0.2426  0.9697
Pm  0.7524  0.7574  0.0303
Pm  0.7528  0.2387  0.4952
Pm  0.7574  0.7524  0.5303
Pm  0.7613  0.2472  0.0048
Pr  0.0000  0.5000  0.0000
Pr  0.5000  0.0000  0.5000
Pr  0.5000  0.5000  0.0000
Pr  0.5000  0.5000  0.5000
Dy  0.0000  0.5000  0.5000
Dy  0.5000  0.0000  0.0000
Tm  0.0000  0.0000  0.0000
Tm  0.0000  0.0000  0.5000



# 4
Pm3PrDyTm after structural relaxation, computed with PBE-GGA.

Results
Space-group type: P2_1/m (11)
ΔH_f (0 K) in meV/atom: 22.8
Fermi-level density of states in states/eV per cell: 18.01
VASP energy in eV/cell: -55.94
V in A^3/atom: 33.46

abc: 8.0688 5.1294 10.2330
angles: 90.00 108.57 90.00
Atoms (fractional coordinates):
Pm  0.1699  0.2500  0.0422
Pm  0.1703  0.7500  0.7919
Pm  0.1707  0.2500  0.5427
Pm  0.8293  0.7500  0.4573
Pm  0.8297  0.2500  0.2081
Pm  0.8301  0.7500  0.9578
Pr  0.1696  0.7500  0.2926
Pr  0.8304  0.2500  0.7074
Dy  0.4995  0.2500  0.8749
Dy  0.5005  0.7500  0.1251
Tm  0.5001  0.2500  0.3750
Tm  0.4999  0.7500  0.6250



# 5
Pm3PrDy2Tm6 after structural relaxation, computed with PBE-GGA.

Results
Space-group type: C2/m (12)
ΔH_f (0 K) in meV/atom: 19.4
Fermi-level density of states in states/eV per cell: 14.11
VASP energy in eV/cell: -54.83
V in A^3/atom: 31.64

abc: 6.1683 6.1683 11.6999
angles: 95.02 95.02 119.98
Atoms (fractional coordinates):
Pm  0.0000  0.0000  0.0000
Pm  0.3332  0.6668  0.0000
Pm  0.6668  0.3332  0.0000
Pr  0.5000  0.5000  0.5000
Dy  0.1668  0.8332  0.5000
Dy  0.8332  0.1668  0.5000
Tm  0.0827  0.4166  0.2510
Tm  0.2494  0.2494  0.7489
Tm  0.4166  0.0827  0.2510
Tm  0.5834  0.9173  0.7490
Tm  0.7506  0.7506  0.2511
Tm  0.9173  0.5834  0.7490



# 6
PmPr2Dy2Tm after structural relaxation, computed with PBE-GGA.

Results
Space-group type: Pmma (51)
ΔH_f (0 K) in meV/atom: 62.2
Fermi-level density of states in states/eV per cell: 18.33
VASP energy in eV/cell: -55.22
V in A^3/atom: 33.12

abc: 7.0725 5.6964 9.8662
angles: 90.00 90.00 90.00
Atoms (fractional coordinates):
Pm  0.2500  0.0000  0.1560
Pm  0.7500  0.0000  0.8440
Pr  0.0000  0.0000  0.5000
Pr  0.2500  0.5000  0.6795
Pr  0.5000  0.0000  0.5000
Pr  0.7500  0.5000  0.3205
Dy  0.2500  0.0000  0.8311
Dy  0.2500  0.5000  0.3363
Dy  0.7500  0.0000  0.1689
Dy  0.7500  0.5000  0.6637
Tm  0.0000  0.5000  0.0000
Tm  0.5000  0.5000  0.0000



# 7
PmPr2DyTm5 after structural relaxation, computed with PBE-GGA.

Results
Space-group type: I4/mcm (140)
ΔH_f (0 K) in meV/atom: 263.9
Fermi-level density of states in states/eV per cell: 19.75
VASP energy in eV/cell: -77.79
V in A^3/atom: 32.29

abc: 9.8706 9.8706 9.8706
angles: 127.92 127.92 76.76
Atoms (fractional coordinates):
Pm  0.2500  0.2500  0.0000
Pm  0.7500  0.7500  0.0000
Pr  0.1175  0.6175  0.7350
Pr  0.3825  0.1175  0.5000
Pr  0.6175  0.8825  0.5000
Pr  0.8825  0.3825  0.2650
Dy  0.2500  0.7500  0.5000
Dy  0.7500  0.2500  0.5000
Tm  0.0000  0.0000  0.0000
Tm  0.0723  0.1488  0.5000
Tm  0.1488  0.6488  0.0765
Tm  0.3512  0.4277  0.5000
Tm  0.4277  0.9277  0.0765
Tm  0.5000  0.5000  0.0000
Tm  0.5723  0.0723  0.9235
Tm  0.6488  0.5723  0.5000
Tm  0.8512  0.3512  0.9235
Tm  0.9277  0.8512  0.5000



# 8
Pm2PrDy4Tm after structural relaxation, computed with PBE-GGA.

Results
Space-group type: C2/c (15)
ΔH_f (0 K) in meV/atom: 414.2
Fermi-level density of states in states/eV per cell: 38.84
VASP energy in eV/cell: -67.69
V in A^3/atom: 33.50

abc: 9.5269 9.5269 6.8159
angles: 110.95 110.95 88.33
Atoms (fractional coordinates):
Pm  0.0000  0.0000  0.0000
Pm  0.0000  0.0000  0.5000
Pm  0.0000  0.5000  0.0000
Pm  0.5000  0.0000  0.5000
Pr  0.0000  0.5000  0.5000
Pr  0.5000  0.0000  0.0000
Dy  0.2548  0.2551  0.0063
Dy  0.2551  0.2548  0.5063
Dy  0.2558  0.7442  0.0002
Dy  0.2558  0.7442  0.4998
Dy  0.7442  0.2558  0.9998
Dy  0.7442  0.2558  0.5002
Dy  0.7449  0.7452  0.4937
Dy  0.7452  0.7449  0.9937
Tm  0.5000  0.5000  0.0000
Tm  0.5000  0.5000  0.5000



# 9
PmPrDy2Tm after structural relaxation, computed with PBE-GGA.

Results
Space-group type: Cmcm (63)
ΔH_f (0 K) in meV/atom: 385.7
Fermi-level density of states in states/eV per cell: 17.13
VASP energy in eV/cell: -42.56
V in A^3/atom: 34.99

abc: 7.1536 7.1536 7.1793
angles: 90.00 90.00 107.74
Atoms (fractional coordinates):
Pm  0.0002  0.9998  0.2500
Pm  0.9998  0.0002  0.7500
Pr  0.2691  0.7309  0.7500
Pr  0.7309  0.2691  0.2500
Dy  0.3130  0.3130  0.0000
Dy  0.3130  0.3130  0.5000
Dy  0.6870  0.6870  0.0000
Dy  0.6870  0.6870  0.5000
Tm  0.2797  0.7203  0.2500
Tm  0.7203  0.2797  0.7500



# 10
Pm2PrDy2Tm after structural relaxation, computed with PBE-GGA.

Results
Space-group type: Pmma (51)
ΔH_f (0 K) in meV/atom: 62.7
Fermi-level density of states in states/eV per cell: 18.60
VASP energy in eV/cell: -55.16
V in A^3/atom: 32.80

abc: 7.0453 5.6775 9.8401
angles: 90.00 90.00 90.00
Atoms (fractional coordinates):
Pm  0.0000  0.0000  0.0000
Pm  0.2500  0.5000  0.1772
Pm  0.5000  0.0000  0.0000
Pm  0.7500  0.5000  0.8228
Pr  0.2500  0.0000  0.6552
Pr  0.7500  0.0000  0.3448
Dy  0.2500  0.0000  0.3275
Dy  0.2500  0.5000  0.8374
Dy  0.7500  0.0000  0.6725
Dy  0.7500  0.5000  0.1626
Tm  0.0000  0.5000  0.5000
Tm  0.5000  0.5000  0.5000



# 11
PmPrDy2Tm5 after structural relaxation, computed with PBE-GGA.

Results
Space-group type: I4/mcm (140)
ΔH_f (0 K) in meV/atom: 276.3
Fermi-level density of states in states/eV per cell: 21.37
VASP energy in eV/cell: -77.21
V in A^3/atom: 32.02

abc: 9.6825 9.6825 9.6825
angles: 125.80 125.80 80.22
Atoms (fractional coordinates):
Pm  0.2500  0.7500  0.5000
Pm  0.7500  0.2500  0.5000
Pr  0.2500  0.2500  0.0000
Pr  0.7500  0.7500  0.0000
Dy  0.1143  0.6143  0.7285
Dy  0.3857  0.1143  0.5000
Dy  0.6143  0.8857  0.5000
Dy  0.8857  0.3857  0.2715
Tm  0.0000  0.0000  0.0000
Tm  0.0726  0.1632  0.5000
Tm  0.1632  0.6632  0.0906
Tm  0.3368  0.4274  0.5000
Tm  0.4274  0.9274  0.0906
Tm  0.5000  0.5000  0.0000
Tm  0.5726  0.0726  0.9094
Tm  0.6632  0.5726  0.5000
Tm  0.8368  0.3368  0.9094
Tm  0.9274  0.8368  0.5000



# 12
PmPr6DyTm2 after structural relaxation, computed with PBE-GGA.

Results
Space-group type: C2/c (15)
ΔH_f (0 K) in meV/atom: 113.1
Fermi-level density of states in states/eV per cell: 29.44
VASP energy in eV/cell: -91.68
V in A^3/atom: 34.60

abc: 8.9791 8.9791 9.7131
angles: 93.83 93.83 116.99
Atoms (fractional coordinates):
Pm  0.0298  0.9702  0.7500
Pm  0.9702  0.0298  0.2500
Pr  0.0059  0.5607  0.6863
Pr  0.1119  0.7611  0.0548
Pr  0.2389  0.8881  0.4452
Pr  0.2958  0.5138  0.8825
Pr  0.4393  0.9941  0.8137
Pr  0.4862  0.7042  0.6175
Pr  0.5138  0.2958  0.3825
Pr  0.5607  0.0059  0.1863
Pr  0.7042  0.4862  0.1175
Pr  0.7611  0.1119  0.5548
Pr  0.8881  0.2389  0.9452
Pr  0.9941  0.4393  0.3137
Dy  0.4108  0.5891  0.2500
Dy  0.5891  0.4108  0.7500
Tm  0.2012  0.2965  0.5489
Tm  0.2965  0.2012  0.0489
Tm  0.7035  0.7988  0.9511
Tm  0.7988  0.7035  0.4511



# 13
Pm4Pr2DyTm2 after structural relaxation, computed with PBE-GGA.

Results
Space-group type: C2/m (12)
ΔH_f (0 K) in meV/atom: 23.4
Fermi-level density of states in states/eV per cell: 14.45
VASP energy in eV/cell: -41.90
V in A^3/atom: 33.47

abc: 8.1098 8.1098 8.0570
angles: 107.62 107.62 36.85
Atoms (fractional coordinates):
Pm  0.0554  0.0554  0.3295
Pm  0.2788  0.2788  0.6704
Pm  0.7212  0.7212  0.3296
Pm  0.9446  0.9446  0.6705
Pr  0.3882  0.3882  0.3306
Pr  0.6118  0.6118  0.6694
Dy  0.5000  0.5000  0.0000
Tm  0.1669  0.1669  0.0003
Tm  0.8331  0.8331  0.9997



# 14
PmPr2DyTm4 after structural relaxation, computed with PBE-GGA.

Results
Space-group type: C2/m (12)
ΔH_f (0 K) in meV/atom: 20.2
Fermi-level density of states in states/eV per cell: 19.62
VASP energy in eV/cell: -73.27
V in A^3/atom: 32.03

abc: 7.1492 7.1492 12.2949
angles: 106.92 106.92 59.99
Atoms (fractional coordinates):
Pm  0.0000  0.0000  0.0000
Pm  0.0000  0.0000  0.5000
Pr  0.0000  0.5000  0.0000
Pr  0.5000  0.0000  0.0000
Pr  0.5000  0.5000  0.0000
Pr  0.5000  0.5000  0.5000
Dy  0.0000  0.5000  0.5000
Dy  0.5000  0.0000  0.5000
Tm  0.2484  0.7500  0.7478
Tm  0.2500  0.2500  0.2522
Tm  0.2497  0.2497  0.7478
Tm  0.2500  0.7516  0.2522
Tm  0.7500  0.2484  0.7478
Tm  0.7503  0.7503  0.2522
Tm  0.7500  0.7500  0.7478
Tm  0.7516  0.2500  0.2522



# 15
PmPr2DyTm after structural relaxation, computed with PBE-GGA.

Results
Space-group type: Cmcm (63)
ΔH_f (0 K) in meV/atom: 435.2
Fermi-level density of states in states/eV per cell: 14.35
VASP energy in eV/cell: -42.41
V in A^3/atom: 35.92

abc: 7.1766 7.1766 7.3450
angles: 90.00 90.00 108.30
Atoms (fractional coordinates):
Pm  0.0310  0.9690  0.7500
Pm  0.9690  0.0310  0.2500
Pr  0.3064  0.3064  0.0000
Pr  0.3064  0.3064  0.5000
Pr  0.6936  0.6936  0.0000
Pr  0.6936  0.6936  0.5000
Dy  0.2580  0.7420  0.2500
Dy  0.7420  0.2580  0.7500
Tm  0.2914  0.7086  0.7500
Tm  0.7086  0.2914  0.2500



# 16
PmPr2Dy6Tm after structural relaxation, computed with PBE-GGA.

Results
Space-group type: C2/c (15)
ΔH_f (0 K) in meV/atom: 116.1
Fermi-level density of states in states/eV per cell: 27.48
VASP energy in eV/cell: -90.47
V in A^3/atom: 32.88

abc: 8.7912 8.7912 9.7473
angles: 94.60 94.60 117.92
Atoms (fractional coordinates):
Pm  0.0171  0.9829  0.7500
Pm  0.9829  0.0171  0.2500
Pr  0.1952  0.2964  0.5428
Pr  0.2964  0.1952  0.0428
Pr  0.7036  0.8048  0.9572
Pr  0.8048  0.7036  0.4572
Dy  0.0192  0.5732  0.6876
Dy  0.1230  0.7407  0.0573
Dy  0.2593  0.8770  0.4427
Dy  0.2954  0.5077  0.8812
Dy  0.4268  0.9808  0.8124
Dy  0.4923  0.7046  0.6188
Dy  0.5077  0.2954  0.3812
Dy  0.5732  0.0192  0.1876
Dy  0.7046  0.4923  0.1188
Dy  0.7407  0.1230  0.5573
Dy  0.8770  0.2593  0.9427
Dy  0.9808  0.4268  0.3124
Tm  0.4070  0.5930  0.2500
Tm  0.5930  0.4070  0.7500



# 17
Pm3PrDy6Tm2 after structural relaxation, computed with PBE-GGA.

Results
Space-group type: C2/m (12)
ΔH_f (0 K) in meV/atom: 17.5
Fermi-level density of states in states/eV per cell: 15.31
VASP energy in eV/cell: -55.38
V in A^3/atom: 32.23

abc: 6.1882 6.1882 11.8404
angles: 94.98 94.98 119.97
Atoms (fractional coordinates):
Pm  0.0000  0.0000  0.0000
Pm  0.3331  0.6669  0.0000
Pm  0.6669  0.3331  0.0000
Pr  0.5000  0.5000  0.5000
Dy  0.0828  0.4172  0.2521
Dy  0.2482  0.2482  0.7479
Dy  0.4172  0.0828  0.2521
Dy  0.5828  0.9172  0.7479
Dy  0.7518  0.7518  0.2521
Dy  0.9172  0.5828  0.7479
Tm  0.1668  0.8332  0.5000
Tm  0.8332  0.1668  0.5000



# 18
PmPrDy4Tm2 after structural relaxation, computed with PBE-GGA.

Results
Space-group type: C2/c (15)
ΔH_f (0 K) in meV/atom: 426.2
Fermi-level density of states in states/eV per cell: 36.13
VASP energy in eV/cell: -66.94
V in A^3/atom: 33.20

abc: 9.4982 9.4982 6.7971
angles: 110.96 110.96 88.47
Atoms (fractional coordinates):
Pm  0.0000  0.5000  0.0000
Pm  0.5000  0.0000  0.5000
Pr  0.0000  0.0000  0.0000
Pr  0.0000  0.0000  0.5000
Dy  0.2517  0.2579  0.5062
Dy  0.2554  0.7446  0.5013
Dy  0.2554  0.7446  0.9987
Dy  0.2579  0.2517  0.0062
Dy  0.7421  0.7483  0.9938
Dy  0.7446  0.2554  0.0013
Dy  0.7446  0.2554  0.4987
Dy  0.7483  0.7421  0.4938
Tm  0.0000  0.5000  0.5000
Tm  0.5000  0.0000  0.0000
Tm  0.5000  0.5000  0.0000
Tm  0.5000  0.5000  0.5000



# 19
PmPr2Dy6Tm3 after structural relaxation, computed with PBE-GGA.

Results
Space-group type: C2/m (12)
ΔH_f (0 K) in meV/atom: 22.3
Fermi-level density of states in states/eV per cell: 16.36
VASP energy in eV/cell: -55.07
V in A^3/atom: 32.06

abc: 6.1808 6.1808 11.8035
angles: 95.00 95.00 119.97
Atoms (fractional coordinates):
Pm  0.0000  0.0000  0.0000
Pr  0.3333  0.6667  0.0000
Pr  0.6667  0.3333  0.0000
Dy  0.0860  0.4190  0.2556
Dy  0.2469  0.2469  0.7443
Dy  0.4190  0.0860  0.2556
Dy  0.5810  0.9140  0.7444
Dy  0.7531  0.7531  0.2557
Dy  0.9140  0.5810  0.7444
Tm  0.1666  0.8334  0.5000
Tm  0.5000  0.5000  0.5000
Tm  0.8334  0.1666  0.5000